[1]
## Pr4AsPtSe2 (PBE)

Data for a relaxed structure of Pr4AsPtSe2.

a = 7.4602 Å, b = 4.2341 Å, c = 7.4850 Å
α = 90.00°, β = 109.13°, γ = 90.00°
With the nearest neighbours (Å) after each atom.
Fractional coordinates of all 8 atoms:
Pr 0.2415 0.0000 0.2364  2 Pt 2.96, 1 As 3.01, 3 Se 3.08-3.10
Pr 0.2541 0.5000 0.7569  2 As 3.00, 1 Pt 3.03, 3 Se 3.06
Pr 0.7459 0.5000 0.2431  2 As 3.00, 1 Pt 3.03, 3 Se 3.06
Pr 0.7585 0.0000 0.7636  2 Pt 2.96, 1 As 3.01, 3 Se 3.08-3.10
As 0.5000 0.0000 0.0000  6 Pr 3.00-3.01
Pt 0.0000 0.5000 0.0000  6 Pr 2.96-3.03
Se 0.0000 0.0000 0.5000  6 Pr 3.06-3.08
Se 0.5000 0.5000 0.5000  6 Pr 3.06-3.10

Properties
- formation energy without anion corrections (eV/atom) = -1.551
- density (g/cm3) = 7.4

[2]
## Pr8As3PtSe4 (PBE)

Data for a relaxed structure of Pr8As3PtSe4.

a = 8.5955 Å, b = 8.5955 Å, c = 8.5955 Å
α = 59.82°, β = 59.82°, γ = 59.82°
With the nearest neighbours (Å) after each atom.
Fractional coordinates of all 16 atoms:
Pr 0.2467 0.2467 0.2467  3 As 2.99, 3 Se 3.08
Pr 0.2484 0.7460 0.7460  1 Pt 2.99, 2 As 3.00, 3 Se 3.07-3.08
Pr 0.2540 0.2540 0.7516  1 Pt 2.99, 2 As 3.00, 3 Se 3.07-3.08
Pr 0.2540 0.7516 0.2540  1 Pt 2.99, 2 As 3.00, 3 Se 3.07-3.08
Pr 0.7460 0.2484 0.7460  1 Pt 2.99, 2 As 3.00, 3 Se 3.07-3.08
Pr 0.7460 0.7460 0.2484  1 Pt 2.99, 2 As 3.00, 3 Se 3.07-3.08
Pr 0.7516 0.2540 0.2540  1 Pt 2.99, 2 As 3.00, 3 Se 3.07-3.08
Pr 0.7533 0.7533 0.7533  3 As 2.99, 3 Se 3.08
As 0.0000 0.0000 0.5000  6 Pr 2.99-3.00
As 0.0000 0.5000 0.0000  6 Pr 2.99-3.00
As 0.5000 0.0000 0.0000  6 Pr 2.99-3.00
Pt 0.5000 0.5000 0.5000  6 Pr 2.99
Se 0.0000 0.0000 0.0000  6 Pr 3.08
Se 0.0000 0.5000 0.5000  6 Pr 3.07-3.08
Se 0.5000 0.0000 0.5000  6 Pr 3.07-3.08
Se 0.5000 0.5000 0.0000  6 Pr 3.07-3.08

Properties
- formation energy without anion corrections (eV/atom) = -1.640
- density (g/cm3) = 6.9

[3]
## Pr2SiAsPt6 (PBE)

Data for a relaxed structure of Pr2SiAsPt6.

a = 5.5794 Å, b = 8.4950 Å, c = 8.5147 Å
α = 90.00°, β = 90.00°, γ = 90.00°
With the nearest neighbours (Å) after each atom.
Fractional coordinates of all 20 atoms:
Pr 0.2500 0.0006 0.2311  9 Pt 3.07-3.34
Pr 0.2500 0.4994 0.2311  9 Pt 3.07-3.34
Pr 0.7500 0.5006 0.7689  9 Pt 3.07-3.34
Pr 0.7500 0.9994 0.7689  9 Pt 3.07-3.34
Si 0.2500 0.2500 0.7554  6 Pt 2.39-2.49
Si 0.7500 0.7500 0.2446  6 Pt 2.39-2.49
As 0.2500 0.7500 0.7750  4 Pt 2.48-2.49
As 0.7500 0.2500 0.2250  4 Pt 2.48-2.49
Pt 0.0017 0.7500 0.4861  1 Si 2.49, 5 Pt 2.72-2.77
Pt 0.0034 0.2500 0.9845  1 Si 2.39, 1 As 2.49
Pt 0.2500 0.5043 0.6177  1 Si 2.46, 1 As 2.48, 4 Pt 2.72-2.74
Pt 0.2500 0.9957 0.6177  1 Si 2.46, 1 As 2.48, 4 Pt 2.72-2.74
Pt 0.4966 0.2500 0.9845  1 Si 2.39, 1 As 2.49
Pt 0.4983 0.7500 0.4861  1 Si 2.49, 5 Pt 2.72-2.77
Pt 0.5017 0.2500 0.5139  1 Si 2.49, 5 Pt 2.72-2.77
Pt 0.5034 0.7500 0.0155  1 Si 2.39, 1 As 2.49
Pt 0.7500 0.0043 0.3823  1 Si 2.46, 1 As 2.48, 4 Pt 2.72-2.74
Pt 0.7500 0.4957 0.3823  1 Si 2.46, 1 As 2.48, 4 Pt 2.72-2.74
Pt 0.9966 0.7500 0.0155  1 Si 2.39, 1 As 2.49
Pt 0.9983 0.2500 0.5139  1 Si 2.49, 5 Pt 2.72-2.77

Properties
- formation energy without anion corrections (eV/atom) = -0.930
- density (g/cm3) = 12.8

Copy entry 3 word for word.
## Pr2SiAsPt6 (PBE)

Data for a relaxed structure of Pr2SiAsPt6.

a = 5.5794 Å, b = 8.4950 Å, c = 8.5147 Å
α = 90.00°, β = 90.00°, γ = 90.00°
With the nearest neighbours (Å) after each atom.
Fractional coordinates of all 20 atoms:
Pr 0.2500 0.0006 0.2311  9 Pt 3.07-3.34
Pr 0.2500 0.4994 0.2311  9 Pt 3.07-3.34
Pr 0.7500 0.5006 0.7689  9 Pt 3.07-3.34
Pr 0.7500 0.9994 0.7689  9 Pt 3.07-3.34
Si 0.2500 0.2500 0.7554  6 Pt 2.39-2.49
Si 0.7500 0.7500 0.2446  6 Pt 2.39-2.49
As 0.2500 0.7500 0.7750  4 Pt 2.48-2.49
As 0.7500 0.2500 0.2250  4 Pt 2.48-2.49
Pt 0.0017 0.7500 0.4861  1 Si 2.49, 5 Pt 2.72-2.77
Pt 0.0034 0.2500 0.9845  1 Si 2.39, 1 As 2.49
Pt 0.2500 0.5043 0.6177  1 Si 2.46, 1 As 2.48, 4 Pt 2.72-2.74
Pt 0.2500 0.9957 0.6177  1 Si 2.46, 1 As 2.48, 4 Pt 2.72-2.74
Pt 0.4966 0.2500 0.9845  1 Si 2.39, 1 As 2.49
Pt 0.4983 0.7500 0.4861  1 Si 2.49, 5 Pt 2.72-2.77
Pt 0.5017 0.2500 0.5139  1 Si 2.49, 5 Pt 2.72-2.77
Pt 0.5034 0.7500 0.0155  1 Si 2.39, 1 As 2.49
Pt 0.7500 0.0043 0.3823  1 Si 2.46, 1 As 2.48, 4 Pt 2.72-2.74
Pt 0.7500 0.4957 0.3823  1 Si 2.46, 1 As 2.48, 4 Pt 2.72-2.74
Pt 0.9966 0.7500 0.0155  1 Si 2.39, 1 As 2.49
Pt 0.9983 0.2500 0.5139  1 Si 2.49, 5 Pt 2.72-2.77

Properties
- formation energy without anion corrections (eV/atom) = -0.930
- density (g/cm3) = 12.8